1.
Here is a geometry-optimized V2CrFe structure from the Alexandria database. Energies are from PBE-GGA.

Cell: 4.0771 4.0771 2.8821 Å, 90.00 90.00 90.00°
Last column: nearest neighbours and their distance in Å.
Sites, in units of the cell vectors:
V 0.0000 0.5000 0.0000  4 Cr 2.50, 4 Fe 2.50
V 0.5000 0.0000 0.0000  4 Cr 2.50, 4 Fe 2.50
Cr 0.0000 0.0000 0.5000  8 V 2.50
Fe 0.5000 0.5000 0.5000  8 V 2.50

Properties
**VASP energy**: -9.242 eV/atom
**SG**: P4/mmm, No. 123



2.
Here is a geometry-optimized K2YPb structure from the Alexandria database. Energies are from PBE-GGA.

Cell: 4.2999 4.2999 10.3276 Å, 90.00 90.00 90.00°
Last column: nearest neighbours and their distance in Å.
Sites, in units of the cell vectors:
K 0.0000 0.0000 0.0000  1 Pb 3.77
K 0.5000 0.5000 0.3579  1 Y 3.60
Y 0.5000 0.5000 0.7060  4 Pb 3.13
Pb 0.0000 0.0000 0.6348  4 Y 3.13

Properties
**VASP energy**: -3.143 eV/atom
**SG**: P4mm, No. 99



Which value of VASP energy does entry 2 give? -3.143 eV/atom